[1]
Material: EuHo4Er
Method: DFT, PBE-GGA
State: optimized geometry

Summary:
As for the formation energy: 0.25 eV per atom.

a = 9.3704 Å, b = 9.3704 Å, c = 9.3704 Å
α = 90.00°, β = 90.00°, γ = 90.00°
Space group F-43m (No. 216)
Asymmetric unit:
Eu: 0.0000 0.0000 0.0000 (multiplicity 4)
Ho: 0.1234 0.1234 0.6234 (multiplicity 16)
Er: 0.2500 0.2500 0.2500 (multiplicity 4)

[2]
Material: BaHg2Pt
Method: DFT, PBE-GGA
State: optimized geometry

Summary:
As for the formation energy: -0.44 eV per atom.

a = 8.3877 Å, b = 4.9778 Å, c = 6.2032 Å
α = 90.00°, β = 116.82°, γ = 90.00°
Space group Cm (No. 8)
Asymmetric unit:
Ba: 0.0000 0.0000 0.0000 (multiplicity 2)
Hg: 0.0401 0.5000 0.6315 (multiplicity 2)
Hg: 0.2873 0.5000 0.3758 (multiplicity 2)
Pt: 0.1924 0.0000 0.6003 (multiplicity 2)

[3]
Material: Pd2PbN
Method: DFT, PBE-GGA
State: optimized geometry

Summary:
Its uncorrected formation energy is 0.33 eV per atom. The value obtained for the energy above the lowest structure with this stoichiometry is 0.00 eV/f.u.

a = 5.0902 Å, b = 5.0902 Å, c = 12.1200 Å
α = 90.00°, β = 90.00°, γ = 90.00°
Space group I-42d (No. 122)
Asymmetric unit:
Pd: 0.0795 0.2500 0.1250 (multiplicity 8)
Pb: 0.0000 0.0000 0.5000 (multiplicity 4)
N: 0.0000 0.0000 0.0000 (multiplicity 4)

[4]
Material: SrLi2Sb2Pd2
Method: DFT, PBE-GGA
State: optimized geometry

Summary:
Its uncorrected formation energy is -0.73 eV per atom.

a = 4.5136 Å, b = 4.5136 Å, c = 25.7906 Å
α = 90.00°, β = 90.00°, γ = 120.00°
Space group R-3m (No. 166, hexagonal axes)
Asymmetric unit:
Sr: 0.0000 0.0000 0.0000 (multiplicity 3)
Li: 0.0000 0.0000 0.1411 (multiplicity 6)
Sb: 0.0000 0.0000 0.2487 (multiplicity 6)
Pd: 0.0000 0.0000 0.4399 (multiplicity 6)

| no. | total DFT energy (no corrections) (eV for the cell shown) |
| --- | --- |
| 1 | -126.6 |
| 2 | -20.7 |
| 3 | -84.4 |
| 4 | -87.7 |